No. 1
## Cd2CoSe (GGA-PBEsol)

Data for a relaxed structure of Cd2CoSe.

The structure in CIF format:
```
data_Cd2CoSe
_chemical_formula_sum 'Cd2 Co1 Se1'
_cell_length_a 5.1118
_cell_length_b 5.1118
_cell_length_c 5.1118
_cell_angle_alpha 133.25
_cell_angle_beta 133.25
_cell_angle_gamma 68.27
_symmetry_space_group_name_H-M 'P 1'
_symmetry_Int_Tables_number 1
_symmetry_space_group_name_Hall 'P 1'
loop_
_atom_site_label
_atom_site_fract_x
_atom_site_fract_y
_atom_site_fract_z
Cd1 0.0000 0.0000 0.0000
Cd2 0.7500 0.2500 0.5000
Co1 0.5000 0.5000 0.0000
Se1 0.2500 0.7500 0.5000
```

Properties
Final energy, eV per cell: -12.7
Raw formation energy, eV/atom: 0.31
SG: I-4m2
Crystal system: tetragonal

***

No. 2
## Ru2W (GGA-PBEsol)

Data for a relaxed structure of Ru2W.

The structure in CIF format:
```
data_Ru2W
_chemical_formula_sum 'Ru2 W1'
_cell_length_a 4.2753
_cell_length_b 4.2753
_cell_length_c 2.7086
_cell_angle_alpha 90.00
_cell_angle_beta 90.00
_cell_angle_gamma 120.00
_symmetry_space_group_name_H-M 'P 1'
_symmetry_Int_Tables_number 1
_symmetry_space_group_name_Hall 'P 1'
loop_
_atom_site_label
_atom_site_fract_x
_atom_site_fract_y
_atom_site_fract_z
Ru1 0.3333 0.6667 0.0000
Ru2 0.6667 0.3333 0.0000
W1 0.0000 0.0000 0.5000
```

Properties
Final energy, eV per cell: -33.6
SG: P6/mmm
Crystal system: hexagonal
Calculated formation energy, eV per atom: 0.194

***

No. 3
## Mg4Cd5 (GGA-PBEsol)

Data for a relaxed structure of Mg4Cd5.

The structure in CIF format:
```
data_Mg4Cd5
_chemical_formula_sum 'Mg8 Cd10'
_cell_length_a 8.5483
_cell_length_b 8.5483
_cell_length_c 5.9912
_cell_angle_alpha 90.00
_cell_angle_beta 90.00
_cell_angle_gamma 120.00
_symmetry_space_group_name_H-M 'P 1'
_symmetry_Int_Tables_number 1
_symmetry_space_group_name_Hall 'P 1'
loop_
_atom_site_label
_atom_site_fract_x
_atom_site_fract_y
_atom_site_fract_z
Mg1 0.0000 0.0000 0.0000
Mg2 0.0000 0.0000 0.5000
Mg3 0.0000 0.3519 0.2500
Mg4 0.0000 0.6481 0.7500
Mg5 0.3519 0.0000 0.2500
Mg6 0.3519 0.3519 0.7500
Mg7 0.6481 0.0000 0.7500
Mg8 0.6481 0.6481 0.2500
Cd1 0.0000 0.3135 0.7500
Cd2 0.0000 0.6865 0.2500
Cd3 0.3135 0.0000 0.7500
Cd4 0.3135 0.3135 0.2500
Cd5 0.3333 0.6667 0.0000
Cd6 0.3333 0.6667 0.5000
Cd7 0.6667 0.3333 0.0000
Cd8 0.6667 0.3333 0.5000
Cd9 0.6865 0.0000 0.2500
Cd10 0.6865 0.6865 0.7500
```

Properties
Final energy, eV per cell: -26.6
Offset from the most stable computed form, eV per atom: 0.030
SG: P6_3/mcm
Crystal system: hexagonal
Calculated formation energy, eV per atom: -0.051

***

No. 4
## SbAsSCl2 (GGA-PBEsol)

Data for a relaxed structure of SbAsSCl2.

The structure in CIF format:
```
data_SbAsSCl2
_chemical_formula_sum 'Sb1 As1 S1 Cl2'
_cell_length_a 4.8347
_cell_length_b 4.8347
_cell_length_c 4.9175
_cell_angle_alpha 90.00
_cell_angle_beta 90.00
_cell_angle_gamma 90.00
_symmetry_space_group_name_H-M 'P 1'
_symmetry_Int_Tables_number 1
_symmetry_space_group_name_Hall 'P 1'
loop_
_atom_site_label
_atom_site_fract_x
_atom_site_fract_y
_atom_site_fract_z
Sb1 0.0000 0.0000 0.0000
As1 0.5000 0.5000 0.5000
S1 0.5000 0.5000 0.0000
Cl1 0.0000 0.5000 0.5000
Cl2 0.5000 0.0000 0.5000
```

Properties
Final energy, eV per cell: -17.3
Raw formation energy, eV/atom: 0.15
SG: P4/mmm
Crystal system: tetragonal

***

No. 5
## Cs2NaTmCl6 (GGA-PBEsol)

Data for a relaxed structure of Cs2NaTmCl6.

The structure in CIF format:
```
data_Cs2NaTmCl6
_chemical_formula_sum 'Cs2 Na1 Tm1 Cl6'
_cell_length_a 7.4891
_cell_length_b 7.4891
_cell_length_c 7.4891
_cell_angle_alpha 60.00
_cell_angle_beta 60.00
_cell_angle_gamma 60.00
_symmetry_space_group_name_H-M 'P 1'
_symmetry_Int_Tables_number 1
_symmetry_space_group_name_Hall 'P 1'
loop_
_atom_site_label
_atom_site_fract_x
_atom_site_fract_y
_atom_site_fract_z
Cs1 0.2500 0.2500 0.2500
Cs2 0.7500 0.7500 0.7500
Na1 0.0000 0.0000 0.0000
Tm1 0.5000 0.5000 0.5000
Cl1 0.2575 0.2575 0.7425
Cl2 0.2575 0.7425 0.2575
Cl3 0.2575 0.7425 0.7425
Cl4 0.7425 0.2575 0.2575
Cl5 0.7425 0.2575 0.7425
Cl6 0.7425 0.7425 0.2575
```

Properties
Final energy, eV per cell: -41.7
Raw formation energy, eV/atom: -2.14
SG: Fm-3m
Crystal system: cubic

***

No. 6
## Co2MoRh (GGA-PBEsol)

Data for a relaxed structure of Co2MoRh.

The structure in CIF format:
```
data_Co2MoRh
_chemical_formula_sum 'Co2 Mo1 Rh1'
_cell_length_a 3.6670
_cell_length_b 3.6670
_cell_length_c 3.5799
_cell_angle_alpha 90.00
_cell_angle_beta 90.00
_cell_angle_gamma 90.00
_symmetry_space_group_name_H-M 'P 1'
_symmetry_Int_Tables_number 1
_symmetry_space_group_name_Hall 'P 1'
loop_
_atom_site_label
_atom_site_fract_x
_atom_site_fract_y
_atom_site_fract_z
Co1 0.0000 0.5000 0.0000
Co2 0.5000 0.0000 0.0000
Mo1 0.0000 0.0000 0.5000
Rh1 0.5000 0.5000 0.5000
```

Properties
Final energy, eV per cell: -35.7
Offset from the most stable computed form, eV per atom: 0.000
SG: P4/mmm
Crystal system: tetragonal
Calculated formation energy, eV per atom: -0.074

***

No. 7
## ZrSbPb (GGA-PBEsol)

Data for a relaxed structure of ZrSbPb.

The structure in CIF format:
```
data_ZrSbPb
_chemical_formula_sum 'Zr1 Sb1 Pb1'
_cell_length_a 5.1512
_cell_length_b 5.1512
_cell_length_c 3.2009
_cell_angle_alpha 90.00
_cell_angle_beta 90.00
_cell_angle_gamma 120.00
_symmetry_space_group_name_H-M 'P 1'
_symmetry_Int_Tables_number 1
_symmetry_space_group_name_Hall 'P 1'
loop_
_atom_site_label
_atom_site_fract_x
_atom_site_fract_y
_atom_site_fract_z
Zr1 0.0000 0.0000 0.0000
Sb1 0.6667 0.3333 0.0000
Pb1 0.3333 0.6667 0.5000
```

Properties
Final energy, eV per cell: -17.9
Raw formation energy, eV/atom: -0.08
Offset from the most stable computed form, eV per atom: 0.305
SG: P-6m2
Crystal system: hexagonal

***

No. 8
## TaAlO2 (GGA-PBEsol)

Data for a relaxed structure of TaAlO2.

The structure in CIF format:
```
data_TaAlO2
_chemical_formula_sum 'Ta2 Al2 O4'
_cell_length_a 5.4458
_cell_length_b 5.4458
_cell_length_c 5.4458
_cell_angle_alpha 129.07
_cell_angle_beta 129.07
_cell_angle_gamma 74.90
_symmetry_space_group_name_H-M 'P 1'
_symmetry_Int_Tables_number 1
_symmetry_space_group_name_Hall 'P 1'
loop_
_atom_site_label
_atom_site_fract_x
_atom_site_fract_y
_atom_site_fract_z
Ta1 0.0000 0.0000 0.0000
Ta2 0.7500 0.2500 0.5000
Al1 0.2500 0.7500 0.5000
Al2 0.5000 0.5000 0.0000
O1 0.1969 0.6250 0.0719
O2 0.3750 0.4469 0.5719
O3 0.5531 0.1250 0.9281
O4 0.8750 0.8031 0.4281
```

Properties
Final energy, eV per cell: -66.5
Raw formation energy, eV/atom: -1.52
SG: I-42d
Crystal system: tetragonal

***

No. 9
## LiRh3 (GGA-PBEsol)

Data for a relaxed structure of LiRh3.

The structure in CIF format:
```
data_LiRh3
_chemical_formula_sum 'Li1 Rh3'
_cell_length_a 2.6547
_cell_length_b 3.7832
_cell_length_c 5.1786
_cell_angle_alpha 90.00
_cell_angle_beta 90.00
_cell_angle_gamma 90.00
_symmetry_space_group_name_H-M 'P 1'
_symmetry_Int_Tables_number 1
_symmetry_space_group_name_Hall 'P 1'
loop_
_atom_site_label
_atom_site_fract_x
_atom_site_fract_y
_atom_site_fract_z
Li1 0.0000 0.0000 0.0000
Rh1 0.0000 0.0000 0.5000
Rh2 0.5000 0.5000 0.2456
Rh3 0.5000 0.5000 0.7544
```

Properties
Final energy, eV per cell: -26.4
SG: Pmmm
Crystal system: orthorhombic
Calculated formation energy, eV per atom: 0.003

***

No. 10
## YHgMoS2 (GGA-PBEsol)

Data for a relaxed structure of YHgMoS2.

The structure in CIF format:
```
data_YHgMoS2
_chemical_formula_sum 'Y1 Hg1 Mo1 S2'
_cell_length_a 4.5833
_cell_length_b 4.5833
_cell_length_c 5.5390
_cell_angle_alpha 90.00
_cell_angle_beta 90.00
_cell_angle_gamma 90.00
_symmetry_space_group_name_H-M 'P 1'
_symmetry_Int_Tables_number 1
_symmetry_space_group_name_Hall 'P 1'
loop_
_atom_site_label
_atom_site_fract_x
_atom_site_fract_y
_atom_site_fract_z
Y1 0.0000 0.0000 0.0000
Hg1 0.5000 0.5000 0.0000
Mo1 0.0000 0.0000 0.5000
S1 0.0000 0.5000 0.5000
S2 0.5000 0.0000 0.5000
```

Properties
Final energy, eV per cell: -28.9
Raw formation energy, eV/atom: -0.20
SG: P4/mmm
Crystal system: tetragonal